VASP calculation (PBE) on an optimized crystal structure of BaNa4Pb.

Properties
E_tot	-1.851	eV/atom
polymorph energy (0 for the lowest one)	0.31	eV/f.u.
space group	Cmcm (63)
calculated density	3.09	g/cm³
ΔE_f	-0.033	eV/atom

Cell: 9.0925 9.0925 9.2139 Å, 90.00 90.00 141.99°
Closest atoms and distances in Å follow each position.
Fractional coordinates of all 12 atoms:
Ba: 0.1206 0.8794 0.7500  1 Pb 3.60, 7 Na 3.71-3.92
Ba: 0.8794 0.1206 0.2500  1 Pb 3.60, 7 Na 3.71-3.92
Na: 0.0953 0.9047 0.2500  2 Pb 3.23, 2 Na 3.36
Na: 0.2673 0.7327 0.0763  1 Pb 3.19, 4 Na 3.20-3.36
Na: 0.2673 0.7327 0.4237  1 Pb 3.19, 4 Na 3.20-3.36
Na: 0.5000 0.5000 0.0000  2 Pb 3.72, 6 Na 4.06-4.09
Na: 0.5000 0.5000 0.5000  2 Pb 3.72, 6 Na 4.06-4.09
Na: 0.7327 0.2673 0.5763  1 Pb 3.19, 4 Na 3.20-3.36
Na: 0.7327 0.2673 0.9237  1 Pb 3.19, 4 Na 3.20-3.36
Na: 0.9047 0.0953 0.7500  2 Pb 3.23, 2 Na 3.36
Pb: 0.3301 0.6699 0.7500  4 Na 3.19-3.23
Pb: 0.6699 0.3301 0.2500  4 Na 3.19-3.23

VASP calculation (PBE) on an optimized crystal structure of PmPuBeGe.

Properties
E_tot	-6.956	eV/atom
space group	F-43m (216)
calculated density	8.86	g/cm³
ΔE_f	-0.100	eV/atom

Cell: 4.9957 4.9957 4.9957 Å, 60.00 60.00 60.00°
Closest atoms and distances in Å follow each position.
Fractional coordinates of all 4 atoms:
Pm: 0.0000 0.0000 0.0000  4 Ge 3.06, 4 Be 3.06
Pu: 0.5000 0.5000 0.5000  4 Ge 3.06, 4 Be 3.06
Be: 0.2500 0.2500 0.2500  4 Pu 3.06, 4 Pm 3.06
Ge: 0.7500 0.7500 0.7500  4 Pu 3.06, 4 Pm 3.06

VASP calculation (PBE) on an optimized crystal structure of Pr8HRh3Br4.

Properties
E_tot	-5.351	eV/atom
space group	R-3m (166)
calculated density	6.38	g/cm³

Cell: 9.1745 9.1745 9.1745 Å, 53.08 53.08 53.08°
Closest atoms and distances in Å follow each position.
Fractional coordinates of all 16 atoms:
Pr: 0.2326 0.2326 0.2326  3 Rh 2.83
Pr: 0.2358 0.7299 0.7299  1 H 2.80, 2 Rh 2.83
Pr: 0.2701 0.2701 0.7642  1 H 2.80, 2 Rh 2.83
Pr: 0.2701 0.7642 0.2701  1 H 2.80, 2 Rh 2.83
Pr: 0.7299 0.2358 0.7299  1 H 2.80, 2 Rh 2.83
Pr: 0.7299 0.7299 0.2358  1 H 2.80, 2 Rh 2.83
Pr: 0.7642 0.2701 0.2701  1 H 2.80, 2 Rh 2.83
Pr: 0.7674 0.7674 0.7674  3 Rh 2.83
H: 0.5000 0.5000 0.5000  6 Pr 2.80
Rh: 0.0000 0.0000 0.5000  6 Pr 2.83
Rh: 0.0000 0.5000 0.0000  6 Pr 2.83
Rh: 0.5000 0.0000 0.0000  6 Pr 2.83
Br: 0.0000 0.0000 0.0000  6 Pr 3.38
Br: 0.0000 0.5000 0.5000  6 Pr 3.35-3.36
Br: 0.5000 0.0000 0.5000  6 Pr 3.35-3.36
Br: 0.5000 0.5000 0.0000  6 Pr 3.35-3.36

VASP calculation (PBE) on an optimized crystal structure of Y2BiPd9.

Properties
E_tot	-5.951	eV/atom
space group	P4/mmm (123)
calculated density	10.54	g/cm³
ΔE_f	-0.655	eV/atom

Cell: 4.1343 4.1343 12.3933 Å, 90.00 90.00 90.00°
Closest atoms and distances in Å follow each position.
Fractional coordinates of all 12 atoms:
Y: 0.0000 0.0000 0.1638  12 Pd 2.90-2.96
Y: 0.0000 0.0000 0.8362  12 Pd 2.90-2.96
Bi: 0.0000 0.0000 0.5000  12 Pd 2.91-2.92
Pd: 0.0000 0.5000 0.0000  4 Y 2.90, 8 Pd 2.92-2.95
Pd: 0.0000 0.5000 0.3344  8 Pd 2.90-2.92, 2 Bi 2.91, 2 Y 2.96
Pd: 0.0000 0.5000 0.6656  8 Pd 2.90-2.92, 2 Bi 2.91, 2 Y 2.96
Pd: 0.5000 0.0000 0.0000  4 Y 2.90, 8 Pd 2.92-2.95
Pd: 0.5000 0.0000 0.3344  8 Pd 2.90-2.92, 2 Bi 2.91, 2 Y 2.96
Pd: 0.5000 0.0000 0.6656  8 Pd 2.90-2.92, 2 Bi 2.91, 2 Y 2.96
Pd: 0.5000 0.5000 0.1702  8 Pd 2.90-2.95, 4 Y 2.92
Pd: 0.5000 0.5000 0.5000  8 Pd 2.91, 4 Bi 2.92
Pd: 0.5000 0.5000 0.8298  8 Pd 2.90-2.95, 4 Y 2.92

Question: Number 1 is which compound?
Answer: BaNa4Pb

Question: The lowest calculated density belongs to which entry?
Answer: BaNa4Pb